# 1
Ce4NiIr2 after structural relaxation, computed with PBE.

- crystal system = monoclinic

Cell: 7.1922 7.1922 7.1567 Å, 119.72 119.72 33.97°
Closest atoms and distances in Å follow each position.
Positions (direct):
Ce 0.1124 0.1124 0.4209  2 Ni 2.83, 3 Ir 2.85-2.86
Ce 0.3629 0.3629 0.0021  3 Ir 2.82-2.83, 1 Ni 3.05
Ce 0.6371 0.6371 0.9979  3 Ir 2.82-2.83, 1 Ni 3.05
Ce 0.8876 0.8876 0.5791  2 Ni 2.83, 3 Ir 2.85-2.86
Ni 0.5000 0.5000 0.5000  2 Ir 2.69, 4 Ce 2.83
Ir 0.2710 0.2710 0.2754  1 Ni 2.69, 6 Ce 2.82-2.86
Ir 0.7290 0.7290 0.7246  1 Ni 2.69, 6 Ce 2.82-2.86

# 2
Ce2NiIr after structural relaxation, computed with PBE.

- crystal system = trigonal

Cell: 10.1226 10.1226 10.1226 Å, 16.69 16.69 16.69°
Closest atoms and distances in Å follow each position.
Positions (direct):
Ce 0.0833 0.0833 0.0833  1 Ni 2.49
Ce 0.9167 0.9167 0.9167  1 Ni 2.49
Ni 0.0000 0.0000 0.0000  2 Ce 2.49
Ir 0.5000 0.5000 0.5000  6 Ir 2.94, 6 Ce 3.02

# 3
CeNi2Ir after structural relaxation, computed with PBE.

- crystal system = orthorhombic

Cell: 5.0640 5.0640 6.0582 Å, 90.00 90.00 119.13°
Closest atoms and distances in Å follow each position.
Positions (direct):
Ce 0.2500 0.7500 0.7539  8 Ni 2.83-3.02, 4 Ir 2.94
Ce 0.7500 0.2500 0.2461  8 Ni 2.83-3.02, 4 Ir 2.94
Ni 0.0881 0.9119 0.3487  1 Ni 2.39, 2 Ir 2.59
Ni 0.4119 0.5881 0.3487  1 Ni 2.39, 2 Ir 2.59
Ni 0.5881 0.4119 0.6513  1 Ni 2.39, 2 Ir 2.59
Ni 0.9119 0.0881 0.6513  1 Ni 2.39, 2 Ir 2.59
Ir 0.2500 0.2500 0.0000  2 Ir 2.57, 4 Ni 2.59
Ir 0.7500 0.7500 0.0000  2 Ir 2.57, 4 Ni 2.59

# 4
CeNiIr2 after structural relaxation, computed with PBE.

- crystal system = tetragonal

Cell: 4.0406 4.0406 4.0053 Å, 90.00 90.00 90.00°
Closest atoms and distances in Å follow each position.
Positions (direct):
Ce 0.0000 0.0000 0.0000  8 Ir 2.84, 4 Ni 2.86
Ni 0.5000 0.5000 0.0000  8 Ir 2.84, 4 Ce 2.86
Ir 0.0000 0.5000 0.5000  4 Ce 2.84, 4 Ni 2.84, 4 Ir 2.86
Ir 0.5000 0.0000 0.5000  4 Ce 2.84, 4 Ni 2.84, 4 Ir 2.86

# 5
CeNi4Ir after structural relaxation, computed with PBE.

- crystal system = orthorhombic

Cell: 7.2248 3.8490 6.4805 Å, 90.00 90.00 90.00°
Closest atoms and distances in Å follow each position.
Positions (direct):
Ce 0.2500 0.0000 0.1409  1 Ir 2.51
Ce 0.7500 0.0000 0.8591  1 Ir 2.51
Ni 0.0000 0.0000 0.5000  2 Ir 2.44, 8 Ni 2.59-2.65
Ni 0.0310 0.5000 0.7643  4 Ni 2.49-2.59, 2 Ir 2.49
Ni 0.2500 0.5000 0.4684  8 Ni 2.49-2.65, 2 Ir 2.67
Ni 0.4690 0.5000 0.7643  4 Ni 2.49-2.59, 2 Ir 2.49
Ni 0.5000 0.0000 0.5000  2 Ir 2.44, 8 Ni 2.59-2.65
Ni 0.5310 0.5000 0.2357  4 Ni 2.49-2.59, 2 Ir 2.49
Ni 0.7500 0.5000 0.5316  8 Ni 2.49-2.65, 2 Ir 2.67
Ni 0.9690 0.5000 0.2357  4 Ni 2.49-2.59, 2 Ir 2.49
Ir 0.2500 0.0000 0.7540  8 Ni 2.44-2.67, 1 Ce 2.51
Ir 0.7500 0.0000 0.2460  8 Ni 2.44-2.67, 1 Ce 2.51

# 6
Ce3NiIr8 after structural relaxation, computed with PBE.

- crystal system = trigonal

Cell: 9.2938 9.2938 9.2938 Å, 33.38 33.38 33.38°
Closest atoms and distances in Å follow each position.
Positions (direct):
Ce 0.0000 0.0000 0.0000  12 Ir 2.99-3.23, 3 Ni 3.10
Ce 0.1301 0.1301 0.1301  12 Ir 3.12-3.18, 4 Ce 3.42-3.43
Ce 0.5205 0.5205 0.5205  9 Ir 2.96-3.21
Ni 0.6555 0.6555 0.6555  3 Ir 2.62
Ir 0.0703 0.5683 0.5683  1 Ni 2.62, 6 Ir 2.66-2.69
Ir 0.0706 0.0706 0.5673  6 Ir 2.65-2.69, 2 Ce 2.96
Ir 0.0706 0.5673 0.0706  6 Ir 2.65-2.69, 2 Ce 2.96
Ir 0.3186 0.3186 0.3186  6 Ir 2.65-2.68
Ir 0.5673 0.0706 0.0706  6 Ir 2.65-2.69, 2 Ce 2.96
Ir 0.5683 0.0703 0.5683  1 Ni 2.62, 6 Ir 2.66-2.69
Ir 0.5683 0.5683 0.0703  1 Ni 2.62, 6 Ir 2.66-2.69
Ir 0.8193 0.8193 0.8193  6 Ir 2.69

# 7
CeNi2Ir after structural relaxation, computed with PBE.

- crystal system = trigonal

Cell: 5.0683 5.0683 5.0683 Å, 49.72 49.72 49.72°
Closest atoms and distances in Å follow each position.
Positions (direct):
Ce 0.0000 0.0000 0.0000  2 Ni 2.59
Ni 0.1948 0.1948 0.1948  3 Ir 2.49, 3 Ni 2.57, 1 Ce 2.59
Ni 0.8052 0.8052 0.8052  3 Ir 2.49, 3 Ni 2.57, 1 Ce 2.59
Ir 0.5000 0.5000 0.5000  6 Ni 2.49

# 8
CeNiIr2 after structural relaxation, computed with PBE.

- crystal system = trigonal

Cell: 8.8272 8.8272 8.8272 Å, 35.17 35.17 35.17°
Closest atoms and distances in Å follow each position.
Positions (direct):
Ce 0.0000 0.0000 0.0000  6 Ni 3.08, 12 Ir 3.35
Ce 0.1391 0.1391 0.1391  9 Ir 3.02-3.18, 3 Ni 3.15, 3 Ce 3.37
Ce 0.8609 0.8609 0.8609  9 Ir 3.02-3.18, 3 Ni 3.15, 3 Ce 3.37
Ni 0.3335 0.3335 0.3335  6 Ir 2.54-2.55
Ni 0.5000 0.5000 0.5000  6 Ir 2.62
Ni 0.6665 0.6665 0.6665  6 Ir 2.54-2.55
Ir 0.0800 0.5826 0.5826  3 Ni 2.54-2.62, 4 Ir 2.65-2.68
Ir 0.4174 0.4174 0.9200  3 Ni 2.54-2.62, 4 Ir 2.65-2.68
Ir 0.4174 0.9199 0.4174  3 Ni 2.54-2.62, 4 Ir 2.65-2.68
Ir 0.5826 0.0800 0.5826  3 Ni 2.54-2.62, 4 Ir 2.65-2.68
Ir 0.5826 0.5826 0.0800  3 Ni 2.54-2.62, 4 Ir 2.65-2.68
Ir 0.9199 0.4174 0.4174  3 Ni 2.54-2.62, 4 Ir 2.65-2.68

# 9
Ce2Ni2Ir after structural relaxation, computed with PBE.

- crystal system = tetragonal

Cell: 7.0466 7.0466 7.3682 Å, 90.00 90.00 90.00°
Closest atoms and distances in Å follow each position.
Positions (direct):
Ce 0.1860 0.3144 0.0000  6 Ni 2.65-2.89
Ce 0.1856 0.3140 0.5000  6 Ni 2.65-2.89
Ce 0.3144 0.8140 0.0000  6 Ni 2.65-2.89
Ce 0.3140 0.8144 0.5000  6 Ni 2.65-2.89
Ce 0.6856 0.1860 0.0000  6 Ni 2.65-2.89
Ce 0.6860 0.1856 0.5000  6 Ni 2.65-2.89
Ce 0.8140 0.6856 0.0000  6 Ni 2.65-2.89
Ce 0.8144 0.6860 0.5000  6 Ni 2.65-2.89
Ni 0.1232 0.6232 0.2500  1 Ni 2.46, 2 Ce 2.65
Ni 0.1232 0.6232 0.7500  1 Ni 2.46, 2 Ce 2.65
Ni 0.3768 0.1232 0.2500  1 Ni 2.46, 2 Ce 2.65
Ni 0.3768 0.1232 0.7500  1 Ni 2.46, 2 Ce 2.65
Ni 0.6232 0.8768 0.2500  1 Ni 2.46, 2 Ce 2.65
Ni 0.6232 0.8768 0.7500  1 Ni 2.46, 2 Ce 2.65
Ni 0.8768 0.3768 0.2500  1 Ni 2.46, 2 Ce 2.65
Ni 0.8768 0.3768 0.7500  1 Ni 2.46, 2 Ce 2.65
Ir 0.0000 0.0000 0.2492  4 Ni 2.79
Ir 0.0000 0.0000 0.7508  4 Ni 2.79
Ir 0.5000 0.5000 0.2507  4 Ni 2.79
Ir 0.5000 0.5000 0.7492  4 Ni 2.79

# 10
CeNiIr3 after structural relaxation, computed with PBE.

- crystal system = orthorhombic

Cell: 6.9467 6.9467 4.7227 Å, 90.00 90.00 122.73°
Closest atoms and distances in Å follow each position.
Positions (direct):
Ce 0.0870 0.9130 0.7500  2 Ir 2.49
Ce 0.9130 0.0870 0.2500  2 Ir 2.49
Ni 0.3206 0.6794 0.7500  8 Ir 2.49-2.70
Ni 0.6794 0.3206 0.2500  8 Ir 2.49-2.70
Ir 0.1042 0.5110 0.2500  1 Ce 2.49, 3 Ni 2.50-2.70, 3 Ir 2.56-2.73
Ir 0.4890 0.8958 0.2500  1 Ce 2.49, 3 Ni 2.50-2.70, 3 Ir 2.56-2.73
Ir 0.5000 0.5000 0.0000  2 Ir 2.36, 2 Ni 2.49
Ir 0.5000 0.5000 0.5000  2 Ir 2.36, 2 Ni 2.49
Ir 0.5110 0.1042 0.7500  1 Ce 2.49, 3 Ni 2.50-2.70, 3 Ir 2.56-2.73
Ir 0.8958 0.4890 0.7500  1 Ce 2.49, 3 Ni 2.50-2.70, 3 Ir 2.56-2.73

# 11
CeNi3Ir2 after structural relaxation, computed with PBE.

- crystal system = trigonal

Cell: 7.3261 7.3261 7.3261 Å, 44.36 44.36 44.36°
Closest atoms and distances in Å follow each position.
Positions (direct):
Ce 0.2171 0.2171 0.2171  9 Ni 2.74-2.77, 3 Ir 2.80
Ce 0.7829 0.7829 0.7829  9 Ni 2.74-2.77, 3 Ir 2.80
Ni 0.2506 0.7110 0.7110  4 Ni 2.55-2.71, 3 Ir 2.65-2.76, 3 Ce 2.74-2.77
Ni 0.2890 0.2890 0.7494  4 Ni 2.55-2.71, 3 Ir 2.65-2.76, 3 Ce 2.74-2.77
Ni 0.2890 0.7494 0.2890  4 Ni 2.55-2.71, 3 Ir 2.65-2.76, 3 Ce 2.74-2.77
Ni 0.7110 0.2506 0.7110  4 Ni 2.55-2.71, 3 Ir 2.65-2.76, 3 Ce 2.74-2.77
Ni 0.7110 0.7110 0.2506  4 Ni 2.55-2.71, 3 Ir 2.65-2.76, 3 Ce 2.74-2.77
Ni 0.7494 0.2890 0.2890  4 Ni 2.55-2.71, 3 Ir 2.65-2.76, 3 Ce 2.74-2.77
Ir 0.0000 0.0000 0.0000  6 Ni 2.76, 6 Ir 2.77
Ir 0.0000 0.5000 0.5000  4 Ni 2.65, 6 Ir 2.77, 2 Ce 2.80
Ir 0.5000 0.0000 0.5000  4 Ni 2.65, 6 Ir 2.77, 2 Ce 2.80
Ir 0.5000 0.5000 0.0000  4 Ni 2.65, 6 Ir 2.77, 2 Ce 2.80

# 12
CeNi6Ir after structural relaxation, computed with PBE.

- crystal system = cubic

Cell: 4.7272 4.7272 4.7272 Å, 90.00 90.00 90.00°
Closest atoms and distances in Å follow each position.
Positions (direct):
Ce 0.0000 0.0000 0.0000  12 Ni 2.66
Ni 0.0000 0.2582 0.5000  2 Ni 2.29-2.44
Ni 0.0000 0.7418 0.5000  2 Ni 2.29-2.44
Ni 0.2582 0.5000 0.0000  2 Ni 2.29-2.44
Ni 0.5000 0.0000 0.2582  2 Ni 2.29-2.44
Ni 0.5000 0.0000 0.7418  2 Ni 2.29-2.44
Ni 0.7418 0.5000 0.0000  2 Ni 2.29-2.44
Ir 0.5000 0.5000 0.5000  12 Ni 2.63

# 13
Ce2Ni2Ir after structural relaxation, computed with PBE.

- crystal system = monoclinic

Cell: 4.9663 4.9663 8.4093 Å, 103.34 103.34 67.19°
Closest atoms and distances in Å follow each position.
Positions (direct):
Ce 0.0170 0.2832 0.1546  1 Ni 2.59, 1 Ir 2.79
Ce 0.2832 0.0170 0.6546  1 Ni 2.59, 1 Ir 2.79
Ce 0.7168 0.9830 0.3454  1 Ni 2.59, 1 Ir 2.79
Ce 0.9830 0.7168 0.8454  1 Ni 2.59, 1 Ir 2.79
Ni 0.2468 0.5117 0.5054  2 Ni 2.48-2.49, 1 Ce 2.59, 2 Ir 2.62
Ni 0.4883 0.7532 0.9946  2 Ni 2.48-2.49, 1 Ce 2.59, 2 Ir 2.62
Ni 0.5117 0.2468 0.0054  2 Ni 2.48-2.49, 1 Ce 2.59, 2 Ir 2.62
Ni 0.7532 0.4883 0.4946  2 Ni 2.48-2.49, 1 Ce 2.59, 2 Ir 2.62
Ir 0.3287 0.6713 0.2500  4 Ni 2.62, 2 Ce 2.79
Ir 0.6713 0.3287 0.7500  4 Ni 2.62, 2 Ce 2.79

# 14
CeNi2Ir after structural relaxation, computed with PBE.

- crystal system = tetragonal

Cell: 3.9679 3.9679 3.9229 Å, 90.00 90.00 90.00°
Closest atoms and distances in Å follow each position.
Positions (direct):
Ce 0.0000 0.0000 0.0000  8 Ni 2.79, 4 Ir 2.81
Ni 0.0000 0.5000 0.5000  4 Ce 2.79, 4 Ir 2.79, 4 Ni 2.81
Ni 0.5000 0.0000 0.5000  4 Ce 2.79, 4 Ir 2.79, 4 Ni 2.81
Ir 0.5000 0.5000 0.0000  8 Ni 2.79, 4 Ce 2.81

# 15
Ce8NiIr5 after structural relaxation, computed with PBE.

- crystal system = tetragonal

Cell: 7.5201 7.5201 7.5201 Å, 109.46 109.46 109.49°
Closest atoms and distances in Å follow each position.
Positions (direct):
Ce 0.0069 0.3750 0.2477  3 Ir 2.79-2.80
Ce 0.1235 0.2567 0.7490  1 Ni 2.78, 2 Ir 2.79
Ce 0.1272 0.7592 0.7523  3 Ir 2.79-2.80
Ce 0.2408 0.9931 0.3680  3 Ir 2.79-2.80
Ce 0.5077 0.3745 0.2510  1 Ni 2.78, 2 Ir 2.79
Ce 0.6250 0.8728 0.6320  3 Ir 2.79-2.80
Ce 0.6255 0.8765 0.1332  1 Ni 2.78, 2 Ir 2.79
Ce 0.7433 0.4923 0.8668  1 Ni 2.78, 2 Ir 2.79
Ni 0.7500 0.2500 0.5000  4 Ce 2.78
Ir 0.0000 0.0000 0.0000  4 Ce 2.79
Ir 0.2493 0.6258 0.1227  4 Ce 2.79-2.80
Ir 0.3742 0.4970 0.6235  4 Ce 2.79-2.80
Ir 0.5030 0.1266 0.8773  4 Ce 2.79-2.80
Ir 0.8734 0.7507 0.3765  4 Ce 2.79-2.80

# 16
CeNi5Ir2 after structural relaxation, computed with PBE.

- crystal system = orthorhombic

Cell: 6.0315 6.0315 6.0315 Å, 144.05 109.24 82.00°
Closest atoms and distances in Å follow each position.
Positions (direct):
Ce 0.0000 0.0000 0.0000  4 Ir 2.81
Ni 0.1917 0.3649 0.8268  4 Ni 2.42-2.54, 3 Ir 2.45-2.53
Ni 0.4620 0.6351 0.8268  4 Ni 2.42-2.54, 3 Ir 2.45-2.53
Ni 0.5000 0.0000 0.5000  2 Ir 2.44, 8 Ni 2.54
Ni 0.5380 0.3649 0.1732  4 Ni 2.42-2.54, 3 Ir 2.45-2.53
Ni 0.8083 0.6351 0.1732  4 Ni 2.42-2.54, 3 Ir 2.45-2.53
Ir 0.2315 0.7315 0.5000  7 Ni 2.44-2.53
Ir 0.7685 0.2685 0.5000  7 Ni 2.44-2.53

# 17
Ce4NiIr after structural relaxation, computed with PBE.

- crystal system = monoclinic

Cell: 7.8231 7.8231 6.7891 Å, 109.99 109.99 113.63°
Closest atoms and distances in Å follow each position.
Positions (direct):
Ce 0.0106 0.4818 0.2356  2 Ni 2.82-2.97, 2 Ir 2.82-3.08, 1 Ce 2.88
Ce 0.2297 0.2616 0.2379  2 Ni 2.81-2.94, 2 Ir 2.83-3.08, 1 Ce 2.88
Ce 0.2616 0.2297 0.7379  2 Ni 2.81-2.94, 2 Ir 2.83-3.08, 1 Ce 2.88
Ce 0.4818 0.0106 0.7356  2 Ni 2.82-2.97, 2 Ir 2.82-3.08, 1 Ce 2.88
Ce 0.5182 0.9894 0.2644  2 Ni 2.82-2.97, 2 Ir 2.82-3.08, 1 Ce 2.88
Ce 0.7384 0.7703 0.2621  2 Ni 2.81-2.94, 2 Ir 2.83-3.08, 1 Ce 2.88
Ce 0.7703 0.7384 0.7621  2 Ni 2.81-2.94, 2 Ir 2.83-3.08, 1 Ce 2.88
Ce 0.9894 0.5182 0.7644  2 Ni 2.82-2.97, 2 Ir 2.82-3.08, 1 Ce 2.88
Ni 0.1220 0.8780 0.2500  8 Ce 2.81-2.97
Ni 0.8780 0.1220 0.7500  8 Ce 2.81-2.97
Ir 0.3734 0.6266 0.7500  8 Ce 2.82-3.08
Ir 0.6266 0.3734 0.2500  8 Ce 2.82-3.08

# 18
Ce2NiIr after structural relaxation, computed with PBE.

- crystal system = tetragonal

Cell: 4.8701 4.8701 3.5019 Å, 90.00 90.00 90.00°
Closest atoms and distances in Å follow each position.
Positions (direct):
Ce 0.0000 0.5000 0.0000  4 Ni 3.00, 4 Ir 3.00
Ce 0.5000 0.0000 0.0000  4 Ni 3.00, 4 Ir 3.00
Ni 0.0000 0.0000 0.5000  8 Ce 3.00
Ir 0.5000 0.5000 0.5000  8 Ce 3.00

# 19
Ce3NiIr after structural relaxation, computed with PBE.

- crystal system = triclinic

Cell: 3.8795 7.3138 8.1664 Å, 94.02 90.32 102.12°
Closest atoms and distances in Å follow each position.
Positions (direct):
Ce 0.0638 0.0802 0.3046  3 Ir 2.85-3.04, 1 Ce 3.09, 1 Ni 3.15
Ce 0.2371 0.4623 0.6867  3 Ir 2.78-3.06, 2 Ni 2.81-2.85
Ce 0.3532 0.8185 0.0523  3 Ni 2.67-2.89, 1 Ce 2.85
Ce 0.6468 0.1815 0.9477  3 Ni 2.67-2.89, 1 Ce 2.85
Ce 0.7629 0.5377 0.3133  3 Ir 2.78-3.06, 2 Ni 2.81-2.85
Ce 0.9362 0.9198 0.6954  3 Ir 2.85-3.04, 1 Ce 3.09, 1 Ni 3.15
Ni 0.2195 0.4170 0.0759  2 Ni 2.62-2.64, 5 Ce 2.67-2.89
Ni 0.7805 0.5830 0.9241  2 Ni 2.62-2.64, 5 Ce 2.67-2.89
Ir 0.3771 0.7837 0.4594  6 Ce 2.78-3.06
Ir 0.6229 0.2163 0.5406  6 Ce 2.78-3.06

# 20
CeNiIr2 after structural relaxation, computed with PBE.

- crystal system = orthorhombic

Cell: 5.3112 8.0494 7.9575 Å, 90.00 90.00 90.00°
Closest atoms and distances in Å follow each position.
Positions (direct):
Ce 0.2500 0.0000 0.1766  2 Ni 2.68, 2 Ir 2.90
Ce 0.2500 0.5000 0.2984  4 Ir 2.63-2.72, 2 Ni 2.67
Ce 0.7500 0.0000 0.8234  2 Ni 2.68, 2 Ir 2.90
Ce 0.7500 0.5000 0.7016  4 Ir 2.63-2.72, 2 Ni 2.67
Ni 0.2500 0.0000 0.7822  2 Ir 2.61, 2 Ce 2.68
Ni 0.2500 0.5000 0.7386  4 Ir 2.39-2.47, 2 Ce 2.67
Ni 0.7500 0.0000 0.2178  2 Ir 2.61, 2 Ce 2.68
Ni 0.7500 0.5000 0.2614  4 Ir 2.39-2.47, 2 Ce 2.67
Ir 0.0000 0.0000 0.5000  2 Ni 2.61, 6 Ir 2.61-2.66, 2 Ce 2.90
Ir 0.0000 0.5000 0.0000  2 Ni 2.47, 2 Ir 2.66, 2 Ce 2.72
Ir 0.2500 0.2764 0.5402  1 Ni 2.39, 2 Ir 2.61, 1 Ce 2.63
Ir 0.2500 0.7236 0.5402  1 Ni 2.39, 2 Ir 2.61, 1 Ce 2.63
Ir 0.5000 0.0000 0.5000  2 Ni 2.61, 6 Ir 2.61-2.66, 2 Ce 2.90
Ir 0.5000 0.5000 0.0000  2 Ni 2.47, 2 Ir 2.66, 2 Ce 2.72
Ir 0.7500 0.2764 0.4598  1 Ni 2.39, 2 Ir 2.61, 1 Ce 2.63
Ir 0.7500 0.7236 0.4598  1 Ni 2.39, 2 Ir 2.61, 1 Ce 2.63

Values for raw total energy, eV per atom, ordered as above
-7.2302, -6.5495, -6.8310, -7.8134, -6.4506, -8.3947, -6.9631, -7.9615, -6.9303, -7.4678, -7.0420, -6.2077, -6.9733, -7.0021, -7.5993, -6.6291, -6.6673, -7.0818, -6.9230, -7.2766
Values for ΔH_f (0 K), eV/atom, ordered as above
-0.48, 0.08, -0.24, -0.45, -0.13, -0.52, -0.37, -0.60, -0.47, 0.19, -0.21, -0.02, -0.52, -0.41, -0.63, -0.06, -0.27, -0.45, -0.43, 0.08